Record 1
TbPr4Nd6: optimized geometry, PBE.

- Mass density: 6590 kg/m³
- Formation enthalpy at 0 K: 0.271 eV/atom
- Space-group type: I-42m (121)
- Density of states at the Fermi level: 16.5 states/eV/cell
- M_tot: 0.000 Bohr magnetons per cell

Cell: 9.833 9.833 9.833 Å, 58.89 139.32 139.32°
Atoms (fractional coordinates):
Pr1 0.379 0.367 0.367
Nd1 0.500 0.500 0.000
Pr2 0.000 0.012 0.633
Nd2 0.000 0.447 0.797
Tb1 0.000 0.000 0.000
Nd3 0.500 0.000 0.500
Nd4 0.651 0.203 0.203
Nd5 0.000 0.797 0.447
Nd6 0.349 0.553 0.553
Pr3 0.621 0.988 0.988
Pr4 0.000 0.633 0.012

---

Record 2
Tb3Pr6Nd2: optimized geometry, PBE.

- Distance to the lowest polymorph of the same formula: 454 meV/atom
- Mass density: 6375 kg/m³
- Formation enthalpy at 0 K: 0.468 eV/atom
- Space-group type: I4/mmm (139)
- Density of states at the Fermi level: 14.0 states/eV/cell
- M_tot: 0.000 Bohr magnetons per cell

Cell: 5.769 5.769 13.250 Å, 102.57 102.57 90.00°
Atoms (fractional coordinates):
Pr1 0.301 0.301 0.602
Tb1 0.164 0.164 0.328
Pr2 0.903 0.403 0.806
Tb2 0.000 0.000 0.000
Pr3 0.097 0.597 0.194
Nd1 0.558 0.558 0.117
Tb3 0.836 0.836 0.672
Pr4 0.403 0.903 0.806
Pr5 0.597 0.097 0.194
Nd2 0.442 0.442 0.883
Pr6 0.699 0.699 0.398

---

Record 3
TbPr5Nd6: optimized geometry, PBE.

- Mass density: 6749 kg/m³
- Formation enthalpy at 0 K: 0.013 eV/atom
- Space-group type: C2/m (12)
- Density of states at the Fermi level: 19.3 states/eV/cell
- M_tot: 0.000 Bohr magnetons per cell

Cell: 12.231 6.387 6.386 Å, 59.99 84.97 79.91°
Atoms (fractional coordinates):
Pr1 0.500 0.833 0.333
Nd1 0.249 0.249 0.000
Tb1 0.000 0.000 0.000
Nd2 0.751 0.083 0.332
Nd3 0.751 0.751 0.000
Pr2 0.500 0.167 0.667
Nd4 0.249 0.917 0.668
Pr3 0.500 0.500 0.000
Pr4 0.000 0.333 0.334
Nd5 0.249 0.585 0.332
Nd6 0.751 0.415 0.668
Pr5 0.000 0.667 0.666